# TlCuCl4

A relaxed TlCuCl4 crystal (PBE-GGA, Alexandria).

## Properties
As for the total energy: -2.91 eV/atom. For the formation energy without anion corrections, the calculation gives -0.606 eV per atom. As for the crystal system: tetragonal. The total magnetization is 0.11 μB per formula unit.

abc: 5.880 5.880 11.106
angles: 90.00 90.00 90.00
Fractional coordinates of all 12 atoms:
Tl 0.000 0.000 0.000
Tl 0.000 0.000 0.500
Cu 0.000 0.500 0.250
Cu 0.500 0.000 0.750
Cl 0.226 0.274 0.369
Cl 0.226 0.726 0.131
Cl 0.274 0.226 0.869
Cl 0.274 0.774 0.631
Cl 0.726 0.226 0.631
Cl 0.726 0.774 0.869
Cl 0.774 0.274 0.131
Cl 0.774 0.726 0.369

# Tl2CuCl

A relaxed Tl2CuCl crystal (PBE-GGA, Alexandria).

## Properties
As for the total energy: -2.80 eV/atom. The calculation puts the energy above the most stable polymorph in this dataset at 59 meV/atom. For the formation energy without anion corrections, the calculation gives -0.129 eV per atom. As for the crystal system: orthorhombic. The total magnetization is 0.00 μB per formula unit.

abc: 6.148 6.148 6.148
angles: 147.48 125.75 64.69
Fractional coordinates of all 4 atoms:
Tl 0.000 0.000 0.000
Tl 0.704 0.204 0.500
Cu 0.224 0.724 0.500
Cl 0.391 0.391 0.000

# TlCuCl2

A relaxed TlCuCl2 crystal (PBE-GGA, Alexandria).

## Properties
As for the total energy: -3.08 eV/atom. The calculation puts the energy above the most stable polymorph in this dataset at 181 meV/atom. For the formation energy without anion corrections, the calculation gives -0.540 eV per atom. As for the crystal system: tetragonal. The total magnetization is 0.00 μB per formula unit.

abc: 3.612 3.612 7.819
angles: 90.00 90.00 90.00
Fractional coordinates of all 4 atoms:
Tl 0.000 0.000 0.000
Cu 0.500 0.500 0.511
Cl 0.000 0.000 0.579
Cl 0.500 0.500 0.216

# TlCu2Cl

A relaxed TlCu2Cl crystal (PBE-GGA, Alexandria).

## Properties
As for the total energy: -2.68 eV/atom. The calculation puts the energy above the most stable polymorph in this dataset at 425 meV/atom. For the formation energy without anion corrections, the calculation gives 0.419 eV per atom. As for the crystal system: cubic. The total magnetization is 0.00 μB per formula unit.

abc: 4.900 4.900 4.900
angles: 60.00 60.00 60.00
Fractional coordinates of all 4 atoms:
Tl 0.000 0.000 0.000
Cu 0.250 0.250 0.250
Cu 0.500 0.500 0.500
Cl 0.750 0.750 0.750

# TlCuCl2

A relaxed TlCuCl2 crystal (PBE-GGA, Alexandria).

## Properties
As for the total energy: -3.25 eV/atom. The calculation puts the energy above the most stable polymorph in this dataset at 12 meV/atom. For the formation energy without anion corrections, the calculation gives -0.709 eV per atom. As for the crystal system: monoclinic. The total magnetization is 0.00 μB per formula unit.

abc: 6.605 6.664 14.879
angles: 90.00 115.50 90.00
Fractional coordinates of all 16 atoms:
Tl 0.142 0.241 0.119
Tl 0.142 0.759 0.619
Tl 0.858 0.241 0.381
Tl 0.858 0.759 0.881
Cu 0.142 0.443 0.847
Cu 0.142 0.557 0.347
Cu 0.858 0.443 0.653
Cu 0.858 0.557 0.153
Cl 0.070 0.237 0.625
Cl 0.070 0.763 0.125
Cl 0.356 0.314 0.353
Cl 0.356 0.686 0.853
Cl 0.644 0.314 0.147
Cl 0.644 0.686 0.647
Cl 0.930 0.237 0.875
Cl 0.930 0.763 0.375

# TlCu4Cl8

A relaxed TlCu4Cl8 crystal (PBE-GGA, Alexandria).

## Properties
As for the total energy: -3.11 eV/atom. For the formation energy without anion corrections, the calculation gives -0.527 eV per atom. As for the crystal system: trigonal. The total magnetization is 3.07 μB per formula unit.

abc: 8.633 8.633 8.633
angles: 49.18 49.18 49.18
Fractional coordinates of all 13 atoms:
Tl 0.000 0.000 0.000
Cu 0.000 0.000 0.500
Cu 0.000 0.500 0.000
Cu 0.500 0.000 0.000
Cu 0.500 0.500 0.500
Cl 0.222 0.222 0.222
Cl 0.233 0.724 0.724
Cl 0.276 0.276 0.767
Cl 0.276 0.767 0.276
Cl 0.724 0.233 0.724
Cl 0.724 0.724 0.233
Cl 0.767 0.276 0.276
Cl 0.778 0.778 0.778

# Tl2Cu2Cl7

A relaxed Tl2Cu2Cl7 crystal (PBE-GGA, Alexandria).

## Properties
As for the total energy: -2.97 eV/atom. The calculation puts the energy above the most stable polymorph in this dataset at 0 meV/atom. For the formation energy without anion corrections, the calculation gives -0.616 eV per atom. As for the crystal system: monoclinic. The total magnetization is 0.00 μB per formula unit.

abc: 8.858 8.858 4.823
angles: 98.86 98.86 115.95
Fractional coordinates of all 11 atoms:
Tl 0.195 0.805 0.000
Tl 0.805 0.195 0.000
Cu 0.286 0.286 0.641
Cu 0.714 0.714 0.359
Cl 0.120 0.120 0.891
Cl 0.123 0.415 0.610
Cl 0.415 0.123 0.610
Cl 0.500 0.500 0.500
Cl 0.585 0.877 0.390
Cl 0.877 0.585 0.390
Cl 0.880 0.880 0.109

# Tl2CuCl5

A relaxed Tl2CuCl5 crystal (PBE-GGA, Alexandria).

## Properties
As for the total energy: -2.92 eV/atom. The calculation puts the energy above the most stable polymorph in this dataset at 17 meV/atom. For the formation energy without anion corrections, the calculation gives -0.666 eV per atom. As for the crystal system: tetragonal. The total magnetization is 0.86 μB per formula unit.

abc: 6.867 6.867 4.919
angles: 90.00 90.00 90.00
Fractional coordinates of all 8 atoms:
Tl 0.000 0.500 0.000
Tl 0.500 0.000 0.000
Cu 0.000 0.000 0.500
Cl 0.000 0.000 0.000
Cl 0.238 0.238 0.500
Cl 0.238 0.762 0.500
Cl 0.762 0.238 0.500
Cl 0.762 0.762 0.500

# TlCuCl2

A relaxed TlCuCl2 crystal (PBE-GGA, Alexandria).

## Properties
As for the total energy: -2.57 eV/atom. The calculation puts the energy above the most stable polymorph in this dataset at 691 meV/atom. For the formation energy without anion corrections, the calculation gives -0.030 eV per atom. As for the crystal system: cubic. The total magnetization is 0.00 μB per formula unit.

abc: 5.038 5.038 5.038
angles: 60.00 60.00 60.00
Fractional coordinates of all 4 atoms:
Tl 0.000 0.000 0.000
Cu 0.750 0.750 0.750
Cl 0.250 0.250 0.250
Cl 0.500 0.500 0.500

# Tl2Cu3Cl6

A relaxed Tl2Cu3Cl6 crystal (PBE-GGA, Alexandria).

## Properties
As for the total energy: -3.22 eV/atom. For the formation energy without anion corrections, the calculation gives -0.664 eV per atom. As for the crystal system: monoclinic. The total magnetization is 1.09 μB per formula unit.

abc: 6.747 6.747 7.673
angles: 93.86 93.86 61.46
Fractional coordinates of all 11 atoms:
Tl 0.156 0.156 0.225
Tl 0.844 0.844 0.775
Cu 0.451 0.451 0.350
Cu 0.500 0.500 0.000
Cu 0.549 0.549 0.650
Cl 0.157 0.639 0.142
Cl 0.347 0.347 0.593
Cl 0.361 0.843 0.858
Cl 0.639 0.157 0.142
Cl 0.653 0.653 0.407
Cl 0.843 0.361 0.858

# TlCu2Cl2

A relaxed TlCu2Cl2 crystal (PBE-GGA, Alexandria).

## Properties
As for the total energy: -2.98 eV/atom. For the formation energy without anion corrections, the calculation gives -0.130 eV per atom. As for the crystal system: tetragonal. The total magnetization is 0.00 μB per formula unit.

abc: 5.865 5.865 5.865
angles: 133.83 133.83 67.36
Fractional coordinates of all 5 atoms:
Tl 0.000 0.000 0.000
Cu 0.372 0.372 0.000
Cu 0.628 0.628 0.000
Cl 0.250 0.750 0.500
Cl 0.750 0.250 0.500

# Tl3Cu2Cl7

A relaxed Tl3Cu2Cl7 crystal (PBE-GGA, Alexandria).

## Properties
As for the total energy: -3.09 eV/atom. The calculation puts the energy above the most stable polymorph in this dataset at 10 meV/atom. For the formation energy without anion corrections, the calculation gives -0.742 eV per atom. As for the crystal system: orthorhombic. The total magnetization is 0.00 μB per formula unit.

abc: 12.712 12.712 4.859
angles: 90.00 90.00 157.35
Fractional coordinates of all 12 atoms:
Tl 0.000 0.000 0.000
Tl 0.182 0.818 0.000
Tl 0.818 0.182 0.000
Cu 0.403 0.597 0.500
Cu 0.597 0.403 0.500
Cl 0.095 0.905 0.500
Cl 0.310 0.690 0.500
Cl 0.405 0.595 0.000
Cl 0.500 0.500 0.500
Cl 0.595 0.405 0.000
Cl 0.690 0.310 0.500
Cl 0.905 0.095 0.500

# Tl5CuCl8

A relaxed Tl5CuCl8 crystal (PBE-GGA, Alexandria).

## Properties
As for the total energy: -3.00 eV/atom. For the formation energy without anion corrections, the calculation gives -0.808 eV per atom. As for the crystal system: tetragonal. The total magnetization is 0.15 μB per formula unit.

abc: 8.393 8.393 8.393
angles: 113.26 113.26 102.13
Fractional coordinates of all 14 atoms:
Tl 0.000 0.000 0.000
Tl 0.126 0.495 0.843
Tl 0.505 0.348 0.631
Tl 0.652 0.283 0.157
Tl 0.717 0.874 0.369
Cu 0.250 0.750 0.500
Cl 0.229 0.008 0.687
Cl 0.322 0.542 0.313
Cl 0.409 0.032 0.234
Cl 0.458 0.771 0.779
Cl 0.798 0.175 0.766
Cl 0.825 0.591 0.624
Cl 0.968 0.202 0.376
Cl 0.992 0.678 0.221

# TlCuCl2

A relaxed TlCuCl2 crystal (PBE-GGA, Alexandria).

## Properties
As for the total energy: -3.23 eV/atom. The calculation puts the energy above the most stable polymorph in this dataset at 34 meV/atom. For the formation energy without anion corrections, the calculation gives -0.687 eV per atom. As for the crystal system: monoclinic. The total magnetization is 0.00 μB per formula unit.

abc: 4.960 3.983 6.456
angles: 90.00 112.21 90.00
Fractional coordinates of all 4 atoms:
Tl 0.000 0.000 0.000
Cu 0.650 0.500 0.297
Cl 0.462 0.500 0.923
Cl 0.741 0.000 0.478

# TlCu2Cl8

A relaxed TlCu2Cl8 crystal (PBE-GGA, Alexandria).

## Properties
As for the total energy: -2.75 eV/atom. The calculation puts the energy above the most stable polymorph in this dataset at 0 meV/atom. For the formation energy without anion corrections, the calculation gives -0.445 eV per atom. As for the crystal system: triclinic. The total magnetization is 0.81 μB per formula unit.

abc: 6.078 6.455 8.674
angles: 96.84 94.16 108.13
Fractional coordinates of all 11 atoms:
Tl 0.000 0.000 0.000
Cu 0.236 0.949 0.583
Cu 0.764 0.051 0.417
Cl 0.004 0.153 0.649
Cl 0.194 0.365 0.114
Cl 0.389 0.001 0.831
Cl 0.417 0.715 0.508
Cl 0.583 0.285 0.492
Cl 0.611 0.999 0.169
Cl 0.806 0.635 0.886
Cl 0.996 0.847 0.351

# TlCuCl4

A relaxed TlCuCl4 crystal (PBE-GGA, Alexandria).

## Properties
As for the total energy: -2.88 eV/atom. For the formation energy without anion corrections, the calculation gives -0.575 eV per atom. As for the crystal system: tetragonal. The total magnetization is 0.00 μB per formula unit.

abc: 6.648 6.648 6.648
angles: 113.14 113.14 102.37
Fractional coordinates of all 6 atoms:
Tl 0.000 0.000 0.000
Cu 0.250 0.750 0.500
Cl 0.038 0.959 0.499
Cl 0.041 0.540 0.080
Cl 0.460 0.540 0.501
Cl 0.460 0.962 0.920

# TmTlCuCl6

A relaxed TmTlCuCl6 crystal (PBE-GGA, Alexandria).

## Properties
As for the total energy: -3.85 eV/atom. For the formation energy without anion corrections, the calculation gives -1.402 eV per atom. As for the crystal system: triclinic. The total magnetization is 0.99 μB per formula unit.

abc: 6.527 6.529 7.155
angles: 92.78 92.83 114.93
Fractional coordinates of all 9 atoms:
Tm 0.000 0.000 0.000
Tl 0.671 0.328 0.500
Cu 0.345 0.655 0.999
Cl 0.041 0.308 0.249
Cl 0.076 0.688 0.796
Cl 0.311 0.329 0.829
Cl 0.312 0.924 0.203
Cl 0.671 0.688 0.170
Cl 0.691 0.959 0.752

# Tl3VCu2Cl9

A relaxed Tl3VCu2Cl9 crystal (PBE-GGA, Alexandria).

## Properties
As for the total energy: -3.61 eV/atom. For the formation energy without anion corrections, the calculation gives -0.871 eV per atom. As for the crystal system: trigonal. The total magnetization is 2.44 μB per formula unit.

abc: 7.001 7.001 8.592
angles: 90.00 90.00 120.00
Fractional coordinates of all 15 atoms:
Tl 0.000 0.000 0.000
Tl 0.333 0.667 0.680
Tl 0.667 0.333 0.320
V 0.000 0.000 0.500
Cu 0.333 0.667 0.145
Cu 0.667 0.333 0.855
Cl 0.000 0.500 0.000
Cl 0.161 0.323 0.341
Cl 0.161 0.839 0.341
Cl 0.323 0.161 0.659
Cl 0.500 0.000 0.000
Cl 0.500 0.500 0.000
Cl 0.677 0.839 0.341
Cl 0.839 0.161 0.659
Cl 0.839 0.677 0.659

# TlVCuCl5

A relaxed TlVCuCl5 crystal (PBE-GGA, Alexandria).

## Properties
As for the total energy: -4.07 eV/atom. For the formation energy without anion corrections, the calculation gives -0.970 eV per atom. As for the crystal system: monoclinic. The total magnetization is 2.00 μB per formula unit.

abc: 7.111 7.111 9.149
angles: 103.29 103.29 107.01
Fractional coordinates of all 16 atoms:
Tl 0.158 0.842 0.750
Tl 0.842 0.158 0.250
V 0.500 0.500 0.000
V 0.500 0.500 0.500
Cu 0.191 0.809 0.250
Cu 0.809 0.191 0.750
Cl 0.140 0.273 0.927
Cl 0.208 0.596 0.404
Cl 0.273 0.140 0.427
Cl 0.404 0.792 0.096
Cl 0.436 0.564 0.750
Cl 0.564 0.436 0.250
Cl 0.596 0.208 0.904
Cl 0.727 0.860 0.573
Cl 0.792 0.404 0.596
Cl 0.860 0.727 0.073

# Tl2CuWCl

A relaxed Tl2CuWCl crystal (PBE-GGA, Alexandria).

## Properties
As for the total energy: -3.42 eV/atom. For the formation energy without anion corrections, the calculation gives 1.307 eV per atom. As for the crystal system: tetragonal. The total magnetization is 2.43 μB per formula unit.

abc: 5.877 5.877 4.447
angles: 90.00 90.00 90.00
Fractional coordinates of all 5 atoms:
Tl 0.000 0.500 0.000
Tl 0.500 0.000 0.000
Cu 0.000 0.000 0.500
W 0.500 0.500 0.500
Cl 0.500 0.500 0.000